(1)
Material: MgCdInPd
Method: DFT, PBE-GGA
State: relaxed

Structure (POSCAR):
```
MgCdInPd
1.0
-0.1215 1.3206 4.2163
1.7929 -3.3717 1.1078
3.9076 1.9176 -0.4880
Mg Cd In Pd
1 1 1 1
Direct
0.0000 0.7910 0.0000
0.0000 0.2905 0.5000
0.5000 0.7905 0.5000
0.5000 0.2908 0.0000
```

Properties
ΔE_f (eV/atom): -0.30
Calculated total energy (eV per atom): -2.914
Total magnetic moment (μB/cell): 0.00



(2)
Material: Mg5Cd2InPd2
Method: DFT, PBE-GGA
State: relaxed

Structure (POSCAR):
```
Mg5Cd2InPd2
1.0
3.7809 0.0000 0.0000
0.0000 10.5618 0.0000
0.0000 0.0000 10.5618
Mg Cd In Pd
10 4 2 4
Direct
0.5000 0.2086 0.0785
0.5000 0.7914 0.9215
0.5000 0.0785 0.7914
0.5000 0.7086 0.4215
0.5000 0.9215 0.2086
0.5000 0.2914 0.5785
0.5000 0.5785 0.7086
0.5000 0.4215 0.2914
0.5000 0.5000 0.0000
0.5000 0.0000 0.5000
0.0000 0.6687 0.1687
0.0000 0.3313 0.8313
0.0000 0.1687 0.3313
0.0000 0.8313 0.6687
0.0000 0.0000 0.0000
0.0000 0.5000 0.5000
0.0000 0.1238 0.6238
0.0000 0.8762 0.3762
0.0000 0.6238 0.8762
0.0000 0.3762 0.1238
```

Properties
ΔE_f (eV/atom): -0.28
Calculated total energy (eV per atom): -2.571
Total magnetic moment (μB/cell): 0.00



(3)
Material: PmMgCdIn
Method: DFT, PBE-GGA
State: relaxed

Structure (POSCAR):
```
PmMgCdIn
1.0
5.2183 0.0000 0.0000
2.6091 4.5191 0.0000
2.6091 1.5064 4.2607
Cd Mg In Pm
1 1 1 1
Direct
0.7500 0.7500 0.7500
0.5000 0.5000 0.5000
0.2500 0.2500 0.2500
0.0000 0.0000 0.0000
```

Properties
ΔE_f (eV/atom): -0.34
Calculated total energy (eV per atom): -2.838
Total magnetic moment (μB/cell): 0.00



(4)
Material: PmMg2Cd2In2
Method: DFT, PBE-GGA
State: relaxed

Structure (POSCAR):
```
PmMg2Cd2In2
1.0
4.8557 0.0000 0.0000
-2.4279 4.1963 -0.3493
0.0000 -2.0819 8.8634
Pm Mg Cd In
1 2 2 2
Direct
0.0000 0.0000 0.0000
0.1340 0.2680 0.4016
0.8660 0.7320 0.5984
0.7522 0.5043 0.2566
0.2478 0.4957 0.7434
0.6048 0.2096 0.8139
0.3952 0.7904 0.1861
```

Properties
ΔE_f (eV/atom): -0.22
Calculated total energy (eV per atom): -2.401
Total magnetic moment (μB/cell): 0.00



(5)
Material: PrMgCdIn
Method: DFT, PBE-GGA
State: relaxed

Structure (POSCAR):
```
PrMgCdIn
1.0
5.2664 0.0000 0.0000
2.6332 4.5609 0.0000
2.6332 1.5203 4.3000
Pr Mg Cd In
1 1 1 1
Direct
0.5000 0.5000 0.5000
0.0000 0.0000 0.0000
0.7500 0.7500 0.7500
0.2500 0.2500 0.2500
```

Properties
ΔE_f (eV/atom): -0.34
Calculated total energy (eV per atom): -2.845
Total magnetic moment (μB/cell): 0.00



(6)
Material: PrMg2Cd2In2
Method: DFT, PBE-GGA
State: relaxed

Structure (POSCAR):
```
PrMg2Cd2In2
1.0
-4.2692 2.0617 1.1643
-4.0637 -1.2931 -2.3762
-4.1579 -5.7942 5.2490
Pr Mg Cd In
1 2 2 2
Direct
0.0000 0.0000 0.0000
0.1388 0.1388 0.5836
0.8612 0.8612 0.4164
0.5700 0.5700 0.2899
0.4300 0.4300 0.7101
0.7366 0.7366 0.7903
0.2634 0.2634 0.2097
```

Properties
ΔE_f (eV/atom): -0.24
Calculated total energy (eV per atom): -2.419
Total magnetic moment (μB/cell): 0.00



(7)
Material: Mg5CdIn2Pt2
Method: DFT, PBE-GGA
State: relaxed

Structure (POSCAR):
```
Mg5CdIn2Pt2
1.0
4.0437 0.0000 0.0000
0.0000 10.1412 0.0000
0.0000 0.0000 10.1412
Mg Cd In Pt
10 2 4 4
Direct
0.5000 0.2071 0.0771
0.5000 0.7929 0.9229
0.5000 0.0771 0.7929
0.5000 0.7071 0.4229
0.5000 0.9229 0.2071
0.5000 0.2929 0.5771
0.5000 0.5771 0.7071
0.5000 0.4229 0.2929
0.5000 0.5000 0.0000
0.5000 0.0000 0.5000
0.0000 0.0000 0.0000
0.0000 0.5000 0.5000
0.0000 0.6682 0.1682
0.0000 0.3318 0.8318
0.0000 0.1682 0.3318
0.0000 0.8318 0.6682
0.0000 0.1276 0.6276
0.0000 0.8724 0.3724
0.0000 0.6276 0.8724
0.0000 0.3724 0.1276
```

Properties
ΔE_f (eV/atom): -0.38
Calculated total energy (eV per atom): -3.023
Total magnetic moment (μB/cell): 0.00



(8)
Material: PuMg2Cd2In2
Method: DFT, PBE-GGA
State: relaxed

Structure (POSCAR):
```
PuMg2Cd2In2
1.0
-0.3771 3.5040 3.4115
-3.3809 -0.3717 3.5341
4.0936 -2.9510 7.0096
Pu Mg Cd In
1 2 2 2
Direct
0.0000 0.0000 0.0000
0.1379 0.1379 0.5864
0.8621 0.8621 0.4136
0.5717 0.5717 0.2849
0.4283 0.4283 0.7151
0.7317 0.7317 0.8050
0.2683 0.2683 0.1950
```

Properties
ΔE_f (eV/atom): -0.07
Calculated total energy (eV per atom): -3.614
Total magnetic moment (μB/cell): 5.68



The lowest ΔE_f belongs to which entry? Mg5CdIn2Pt2



Which of these has the highest total magnetic moment? PuMg2Cd2In2



Number 1 is which compound? MgCdInPd